Entry 1:
# HgSb2

An optimized crystal structure of HgSb2 (PBE, Alexandria via LeMat-Bulk).

space-group type	P6_3/mmc (194)
total magnetic moment	0.00	μB/cell
energy above the most stable polymorph in this dataset	7.0	kJ/mol of atoms
energy relative to the elements, uncorrected	0.11	eV per atom

Cell: 5.464 5.464 6.599 Å, 90.00 90.00 120.00°
Positions (direct):
1 Sb 0.667 0.333 0.027
2 Sb 0.333 0.667 0.973
3 Hg 0.000 0.000 0.750
4 Hg 0.000 0.000 0.250
5 Sb 0.333 0.667 0.527
6 Sb 0.667 0.333 0.473

Entry 2:
# Hg7Sb

An optimized crystal structure of Hg7Sb (PBE, Alexandria via LeMat-Bulk).

space-group type	Fm-3m (225)
total magnetic moment	0.00	μB/cell
energy relative to the elements, uncorrected	0.13	eV per atom

Cell: 6.699 6.699 6.699 Å, 60.00 60.00 60.00°
Positions (direct):
1 Hg 0.000 0.500 0.500
2 Hg 0.500 0.500 0.000
3 Hg 0.500 0.500 0.500
4 Hg 0.000 0.500 0.000
5 Hg 0.500 0.000 0.000
6 Hg 0.000 0.000 0.500
7 Hg 0.500 0.000 0.500
8 Sb 0.000 0.000 0.000

Entry 3:
# Hg4Sb3

An optimized crystal structure of Hg4Sb3 (PBE, Alexandria via LeMat-Bulk).

space-group type	I4/mmm (139)
total magnetic moment	0.00	μB/cell
energy relative to the elements, uncorrected	0.16	eV per atom

Cell: 11.378 11.378 11.378 Å, 158.49 158.49 30.60°
Positions (direct):
1 Hg 0.571 0.571 0.000
2 Hg 0.134 0.134 0.000
3 Hg 0.429 0.429 0.000
4 Sb 0.268 0.268 0.000
5 Sb 0.732 0.732 0.000
6 Hg 0.866 0.866 0.000
7 Sb 0.000 0.000 0.000

Please write out number 2 again, unchanged.
# Hg7Sb

An optimized crystal structure of Hg7Sb (PBE, Alexandria via LeMat-Bulk).

space-group type	Fm-3m (225)
total magnetic moment	0.00	μB/cell
energy relative to the elements, uncorrected	0.13	eV per atom

Cell: 6.699 6.699 6.699 Å, 60.00 60.00 60.00°
Positions (direct):
1 Hg 0.000 0.500 0.500
2 Hg 0.500 0.500 0.000
3 Hg 0.500 0.500 0.500
4 Hg 0.000 0.500 0.000
5 Hg 0.500 0.000 0.000
6 Hg 0.000 0.000 0.500
7 Hg 0.500 0.000 0.500
8 Sb 0.000 0.000 0.000